First-principles (PBE) data for crystalline Ho2TmZn4 at its relaxed geometry, as listed in Alexandria via LeMat-Bulk.

Summary:
Energy of formation: -0.16 eV/atom
DOS at the Fermi energy: 4.18 states/eV/cell
Space group: I4/mmm

Cell: 7.1825 7.1825 7.1825 Å, 138.50 138.50 60.13°
Atoms (fractional coordinates):
1 Ho 0.2274 0.2274 0.0000
2 Ho 0.7726 0.7726 0.0000
3 Tm 0.5000 0.5000 0.0000
4 Zn 0.1098 0.6098 0.5000
5 Zn 0.3902 0.8902 0.5000
6 Zn 0.6098 0.1098 0.5000
7 Zn 0.8902 0.3902 0.5000